(1)
{
  "formula": "KBaPBr2",
  "functional": "PBEsol",
  "state": "relaxed",
  "e_form_raw_ev_per_fu": -2.46,
  "energy_ev_per_cell": -15.3,
  "dos_at_fermi_per_ev_cell": 2.907,
  "cell": [[5.9917, 0.0000, 0.0000], [0.0000, 5.9917, 0.0000], [0.0000, 0.0000, 15.7444]],
  "species": ["K", "Ba", "P", "Br", "Br"],
  "frac_coords": [[0.0000, 0.0000, 0.0000], [0.0000, 0.0000, 0.5000], [0.5000, 0.5000, 0.0000], [0.0000, 0.5000, 0.5000], [0.5000, 0.0000, 0.5000]]
}

***

(2)
{
  "formula": "K2BaSrBr",
  "functional": "PBEsol",
  "state": "relaxed",
  "e_form_raw_ev_per_fu": -2.30,
  "energy_ev_per_cell": -10.4,
  "dos_at_fermi_per_ev_cell": 5.463,
  "cell": [[6.5450, 0.0000, 0.0000], [0.0000, 6.5450, 0.0000], [0.0000, 0.0000, 6.2812]],
  "species": ["K", "K", "Ba", "Sr", "Br"],
  "frac_coords": [[0.0000, 0.5000, 0.0000], [0.5000, 0.0000, 0.0000], [0.0000, 0.0000, 0.5000], [0.5000, 0.5000, 0.5000], [0.5000, 0.5000, 0.0000]]
}

***

(3)
{
  "formula": "BaLaBr3",
  "functional": "PBEsol",
  "state": "relaxed",
  "e_form_raw_ev_per_fu": -7.00,
  "energy_ev_per_cell": -20.1,
  "dos_at_fermi_per_ev_cell": 5.391,
  "cell": [[5.7636, 0.0000, 0.0000], [0.0000, 5.7636, 0.0000], [0.0000, 0.0000, 5.7636]],
  "species": ["Ba", "La", "Br", "Br", "Br"],
  "frac_coords": [[0.0000, 0.0000, 0.0000], [0.5000, 0.5000, 0.5000], [0.0000, 0.5000, 0.5000], [0.5000, 0.0000, 0.5000], [0.5000, 0.5000, 0.0000]]
}

***

(4)
{
  "formula": "BaLa2Br",
  "functional": "PBEsol",
  "state": "relaxed",
  "e_form_raw_ev_per_fu": -1.59,
  "polymorph_energy_ev_per_fu": 0.47,
  "energy_ev_per_cell": -16.3,
  "dos_at_fermi_per_ev_cell": 4.713,
  "cell": [[3.6468, 0.0000, 0.0000], [0.0000, 5.8056, 0.0000], [0.0000, 0.0000, 6.3207]],
  "species": ["Ba", "La", "La", "Br"],
  "frac_coords": [[0.0000, 0.0000, 0.0000], [0.0000, 0.5000, 0.5000], [0.5000, 0.0000, 0.5000], [0.5000, 0.5000, 0.0000]]
}

***

(5)
{
  "formula": "BaLa2Br",
  "functional": "PBEsol",
  "state": "relaxed",
  "e_form_raw_ev_per_fu": -1.73,
  "polymorph_energy_ev_per_fu": 0.33,
  "energy_ev_per_cell": -16.4,
  "dos_at_fermi_per_ev_cell": 4.617,
  "cell": [[1.9673, -3.1587, 0.0000], [1.9673, 3.1587, 0.0000], [0.0000, 0.0000, 11.4587]],
  "species": ["Ba", "La", "La", "Br"],
  "frac_coords": [[0.0000, 0.0000, 0.0000], [0.5000, 0.5000, 0.2892], [0.5000, 0.5000, 0.7108], [0.0000, 0.0000, 0.5000]]
}

***

(6)
{
  "formula": "BaLa2Br",
  "functional": "PBEsol",
  "state": "relaxed",
  "e_form_raw_ev_per_fu": -1.71,
  "polymorph_energy_ev_per_fu": 0.35,
  "energy_ev_per_cell": -16.4,
  "dos_at_fermi_per_ev_cell": 4.488,
  "cell": [[3.8927, 0.0000, 0.0000], [0.0000, 6.4222, 0.0000], [-0.2878, 0.0000, 5.5026]],
  "species": ["Ba", "La", "La", "Br"],
  "frac_coords": [[0.0000, 0.0000, 0.0000], [0.3312, 0.5000, 0.7538], [0.6688, 0.5000, 0.2462], [0.5000, 0.0000, 0.5000]]
}

***

(7)
{
  "formula": "BaLa2Br",
  "functional": "PBEsol",
  "state": "relaxed",
  "e_form_raw_ev_per_fu": -2.06,
  "polymorph_energy_ev_per_fu": 0.00,
  "energy_ev_per_cell": -16.8,
  "dos_at_fermi_per_ev_cell": 4.449,
  "cell": [[1.9175, 1.1070, 10.9932], [-1.9175, 1.1070, 10.9932], [0.0000, -2.2141, 10.9932]],
  "species": ["Ba", "La", "La", "Br"],
  "frac_coords": [[0.0000, 0.0000, 0.0000], [0.2358, 0.2358, 0.2358], [0.7642, 0.7642, 0.7642], [0.5000, 0.5000, 0.5000]]
}

***

(8)
{
  "formula": "BaLa2Br",
  "functional": "PBEsol",
  "state": "relaxed",
  "e_form_raw_ev_per_fu": -1.54,
  "polymorph_energy_ev_per_fu": 0.52,
  "energy_ev_per_cell": -16.3,
  "dos_at_fermi_per_ev_cell": 5.217,
  "cell": [[-1.8220, 2.5922, 7.0143], [1.8220, -2.5922, 7.0143], [1.8220, 2.5922, -7.0143]],
  "species": ["Ba", "La", "La", "Br"],
  "frac_coords": [[0.0000, 0.0000, 0.0000], [0.3951, 0.3951, 0.0000], [0.7042, 0.2042, 0.5000], [0.2064, 0.7064, 0.5000]]
}

***

(9)
{
  "formula": "BaLiBr2",
  "functional": "PBEsol",
  "state": "relaxed",
  "e_form_raw_ev_per_fu": -5.34,
  "polymorph_energy_ev_per_fu": 0.32,
  "energy_ev_per_cell": -13.2,
  "dos_at_fermi_per_ev_cell": 2.176,
  "cell": [[0.0000, 3.8910, 3.8910], [3.8910, 0.0000, 3.8910], [3.8910, 3.8910, 0.0000]],
  "species": ["Ba", "Li", "Br", "Br"],
  "frac_coords": [[0.0000, 0.0000, 0.0000], [0.5000, 0.5000, 0.5000], [0.2500, 0.2500, 0.2500], [0.7500, 0.7500, 0.7500]]
}

***

(10)
{
  "formula": "BaLiBr2",
  "functional": "PBEsol",
  "state": "relaxed",
  "e_form_raw_ev_per_fu": -5.66,
  "polymorph_energy_ev_per_fu": 0.00,
  "energy_ev_per_cell": -13.5,
  "dos_at_fermi_per_ev_cell": 1.253,
  "cell": [[5.1980, 0.0000, 0.0000], [0.0000, 5.1980, 0.0000], [0.0000, 0.0000, 4.0337]],
  "species": ["Ba", "Li", "Br", "Br"],
  "frac_coords": [[0.0000, 0.0000, 0.0000], [0.5000, 0.5000, 0.0000], [0.0000, 0.5000, 0.5000], [0.5000, 0.0000, 0.5000]]
}

***

(11)
{
  "formula": "Ba2LiBr",
  "functional": "PBEsol",
  "state": "relaxed",
  "e_form_raw_ev_per_fu": -2.73,
  "energy_ev_per_cell": -10.9,
  "dos_at_fermi_per_ev_cell": 3.788,
  "cell": [[4.8108, 0.0000, 0.0000], [0.0000, 4.8108, 0.0000], [0.0000, 0.0000, 6.8919]],
  "species": ["Ba", "Ba", "Li", "Br"],
  "frac_coords": [[0.0000, 0.0000, 0.0000], [0.5000, 0.5000, 0.5000], [0.0000, 0.0000, 0.5000], [0.5000, 0.5000, 0.0000]]
}

***

(12)
{
  "formula": "BaLi2Br",
  "functional": "PBEsol",
  "state": "relaxed",
  "e_form_raw_ev_per_fu": -2.43,
  "energy_ev_per_cell": -10.4,
  "dos_at_fermi_per_ev_cell": 2.286,
  "cell": [[-1.8840, 2.6505, 6.3992], [1.8840, -2.6505, 6.3992], [1.8840, 2.6505, -6.3992]],
  "species": ["Ba", "Li", "Li", "Br"],
  "frac_coords": [[0.0000, 0.0000, 0.0000], [0.2749, 0.7749, 0.5000], [0.7251, 0.2251, 0.5000], [0.5000, 0.5000, 0.0000]]
}